# 1
Material: Ba2NaCeF8
Method: DFT, PBE-GGA
State: relaxed

## Properties
Raw formation energy   -3712 meV/atom

a b c (Å): 7.3490 7.3490 7.3490
angles (deg): 131.60 131.60 70.86
Last column: nearest neighbours and their distance in Å.
Sites, in units of the cell vectors:
Ba 0.0000 0.0000 0.0000  8 F 2.68
Ba 0.7500 0.2500 0.5000  8 F 2.68
Na 0.5000 0.5000 0.0000  8 F 2.63
Ce 0.2500 0.7500 0.5000  8 F 2.44
F 0.1388 0.1048 0.5066  1 Ce 2.44, 1 Na 2.63, 2 Ba 2.68
F 0.1388 0.6322 0.0340  1 Ce 2.44, 1 Na 2.63, 2 Ba 2.68
F 0.3678 0.4018 0.5066  1 Ce 2.44, 1 Na 2.63, 2 Ba 2.68
F 0.3678 0.8612 0.9660  1 Ce 2.44, 1 Na 2.63, 2 Ba 2.68
F 0.5982 0.1048 0.9660  1 Ce 2.44, 1 Na 2.63, 2 Ba 2.68
F 0.5982 0.6322 0.4934  1 Ce 2.44, 1 Na 2.63, 2 Ba 2.68
F 0.8952 0.4018 0.0340  1 Ce 2.44, 1 Na 2.63, 2 Ba 2.68
F 0.8952 0.8612 0.4934  1 Ce 2.44, 1 Na 2.63, 2 Ba 2.68



# 2
Material: PmTh2Ge
Method: DFT, PBE-GGA
State: relaxed

## Properties
E above lowest polymorph   23 meV/atom

a b c (Å): 3.8689 3.8689 7.8662
angles (deg): 90.00 90.00 90.00
Last column: nearest neighbours and their distance in Å.
Sites, in units of the cell vectors:
Pm 0.0000 0.0000 0.0000  8 Th 3.62, 4 Pm 3.87, 2 Ge 3.93
Th 0.5000 0.5000 0.3006  1 Th 3.14, 4 Ge 3.15
Th 0.5000 0.5000 0.6994  1 Th 3.14, 4 Ge 3.15
Ge 0.0000 0.0000 0.5000  8 Th 3.15



# 3
Material: ReAu2Br
Method: DFT, PBE-GGA
State: relaxed

## Properties
E above lowest polymorph   433 meV/atom
Raw formation energy   940 meV/atom

a b c (Å): 5.4498 2.7636 5.4621
angles (deg): 90.00 117.62 90.00
Last column: nearest neighbours and their distance in Å.
Sites, in units of the cell vectors:
Re 0.0000 0.0000 0.0000  2 Re 2.76, 2 Br 2.83, 8 Au 3.06
Au 0.0000 0.5000 0.5000  4 Au 2.76-2.83, 4 Br 3.06, 4 Re 3.06
Au 0.5000 0.5000 0.0000  4 Au 2.76-2.83, 4 Re 3.06, 4 Br 3.06
Br 0.5000 0.0000 0.5000  2 Br 2.76, 2 Re 2.83, 8 Au 3.06



Computed final energy, in the same sequence as the records: -70.617; -25.156; -16.916 eV per cell.